A relaxed structure of ScTi2Ag2, computed with PBE.

abc: 7.638 7.638 7.638
angles: 152.20 152.20 39.73
Element x y z (fractional)
Sc: 0.000 0.000 0.000
Ti: 0.250 0.750 0.500
Ti: 0.750 0.250 0.500
Ag: 0.403 0.403 0.000
Ag: 0.597 0.597 0.000

Results
V ... 96.8 Å³ per cell
Formation energy ... 155 meV per atom
Fermi-level density of states ... 1.473 states/eV per atom